## TaNbSiMoH (GGA-PBE)

Data for TaNbSiMoH after structural relaxation.

abc: 5.1902 5.1902 4.5553
angles: 114.69 114.69 38.54
Positions (direct):
1 Ta 0.0000 0.0000 0.0000
2 Nb 0.4973 0.4973 0.5140
3 Si 0.2461 0.2461 0.7391
4 Mo 0.7364 0.7364 0.2511
5 H 0.9332 0.9332 0.3270

Properties
SG: Cm, No. 8
Total energy: -8.419 eV/atom